## Sr3OsF (PBE)

Data for a relaxed structure of Sr3OsF.

Calculated values
* polymorph energy (0 for the lowest one): 0.000 eV per atom
* uncorrected formation energy: -2.7 eV per formula unit
* uncorrected energy: -4.179 eV/atom

a = 5.0250 Å, b = 5.0250 Å, c = 5.0250 Å
α = 90.00°, β = 90.00°, γ = 90.00°
Last column: nearest neighbours and their distance in Å.
Space group Pm-3m (No. 221)
Inequivalent atoms, fractional coordinates:
Sr (0.0000, 0.0000, 0.5000) [3 per cell]  2 F 2.51
Os (0.5000, 0.5000, 0.5000) [1 per cell]  12 Sr 3.55
F (0.0000, 0.0000, 0.0000) [1 per cell]  6 Sr 2.51